VASP calculation (GGA-PBE) on ScAl2Pd2 after structural relaxation.

Output
Energy of formation ... -0.74 eV per atom
Magnetization ... 0.000 Bohr magnetons per cell

Lattice parameters (Å, degrees): 4.0198 4.0198 21.7711 90.00 90.00 90.00
Space group I4/mmm (No. 139)
Unique sites:
Sc 0.0000 0.0000 0.1235 (multiplicity 4)
Al 0.0000 0.0000 0.4305 (multiplicity 4)
Al 0.0000 0.5000 0.2500 (multiplicity 4)
Pd 0.0000 0.0000 0.3201 (multiplicity 4)
Pd 0.0000 0.5000 0.0000 (multiplicity 4)

***

VASP calculation (GGA-PBE) on Sc2AlPd4 after structural relaxation.

Output
Energy of formation ... -0.33 eV per atom
Magnetization ... 0.000 Bohr magnetons per cell

Lattice parameters (Å, degrees): 4.5575 4.5575 13.4883 90.00 90.00 90.00
Space group I4/mmm (No. 139)
Unique sites:
Sc 0.0000 0.0000 0.1325 (multiplicity 4)
Al 0.0000 0.0000 0.5000 (multiplicity 2)
Pd 0.0000 0.0000 0.3183 (multiplicity 4)
Pd 0.0000 0.5000 0.0000 (multiplicity 4)

***

VASP calculation (GGA-PBE) on Sc11Al9Pd4 after structural relaxation.

Output
Energy of formation ... -0.65 eV per atom
Magnetization ... 0.000 Bohr magnetons per cell

Lattice parameters (Å, degrees): 13.5516 20.4447 3.2989 90.00 90.00 90.00
Space group Cmmm (No. 65)
Unique sites:
Sc 0.0000 0.0000 0.0000 (multiplicity 2)
Sc 0.0000 0.1600 0.0000 (multiplicity 4)
Sc 0.0000 0.3675 0.0000 (multiplicity 4)
Sc 0.2020 0.5000 0.0000 (multiplicity 4)
Sc 0.2344 0.1750 0.0000 (multiplicity 8)
Al 0.0000 0.5000 0.5000 (multiplicity 2)
Al 0.1035 0.2635 0.5000 (multiplicity 8)
Al 0.1420 0.0714 0.5000 (multiplicity 8)
Pd 0.1550 0.3985 0.5000 (multiplicity 8)

***

VASP calculation (GGA-PBE) on ScAlPd3 after structural relaxation.

Output
Energy of formation ... -0.77 eV per atom
Magnetization ... 0.000 Bohr magnetons per cell

Lattice parameters (Å, degrees): 4.5614 5.6214 6.6784 90.00 99.30 90.00
Space group P2_1/m (No. 11)
Unique sites:
Sc 0.1695 0.2500 0.1892 (multiplicity 2)
Al 0.1923 0.7500 0.3494 (multiplicity 2)
Pd 0.2863 0.0063 0.6503 (multiplicity 4)
Pd 0.3712 0.7500 0.0227 (multiplicity 2)

***

VASP calculation (GGA-PBE) on ScAlPd2 after structural relaxation.

Output
Energy of formation ... -0.53 eV per atom
Magnetization ... 0.000 Bohr magnetons per cell

Lattice parameters (Å, degrees): 7.0394 7.0394 5.7914 90.00 90.00 90.00
Space group I-42d (No. 122)
Unique sites:
Sc 0.0000 0.0000 0.0000 (multiplicity 4)
Al 0.0000 0.0000 0.5000 (multiplicity 4)
Pd 0.2219 0.2500 0.6250 (multiplicity 8)

***

VASP calculation (GGA-PBE) on Sc2AlPd2 after structural relaxation.

Output
Energy of formation ... -0.67 eV per atom
Magnetization ... 0.000 Bohr magnetons per cell

Lattice parameters (Å, degrees): 6.9212 10.5281 5.2966 90.00 90.00 90.00
Space group Ibam (No. 72)
Unique sites:
Sc 0.1610 0.1809 0.0000 (multiplicity 8)
Al 0.0000 0.5000 0.2500 (multiplicity 4)
Pd 0.2019 0.0788 0.5000 (multiplicity 8)

***

VASP calculation (GGA-PBE) on Sc2Al6Pd after structural relaxation.

Output
Energy of formation ... -0.50 eV per atom
Magnetization ... 0.000 Bohr magnetons per cell

Lattice parameters (Å, degrees): 5.6328 5.6328 5.8392 90.00 90.00 120.00
Space group P-3m1 (No. 164)
Unique sites:
Sc 0.3333 0.6667 0.3755 (multiplicity 2)
Al 0.1739 0.3478 0.8179 (multiplicity 6)
Pd 0.0000 0.0000 0.5000 (multiplicity 1)

***

VASP calculation (GGA-PBE) on Sc2Al8Pd after structural relaxation.

Output
Energy of formation ... -0.50 eV per atom
Magnetization ... 0.000 Bohr magnetons per cell

Lattice parameters (Å, degrees): 4.1851 4.1851 10.8981 90.00 90.00 90.00
Space group P4/mmm (No. 123)
Unique sites:
Sc 0.0000 0.0000 0.1853 (multiplicity 2)
Al 0.0000 0.5000 0.0000 (multiplicity 2)
Al 0.0000 0.5000 0.3680 (multiplicity 4)
Al 0.5000 0.5000 0.1901 (multiplicity 2)
Pd 0.0000 0.0000 0.5000 (multiplicity 1)

***

VASP calculation (GGA-PBE) on ScAl2Pd2 after structural relaxation.

Output
Energy of formation ... -0.80 eV per atom
Magnetization ... 0.000 Bohr magnetons per cell

Lattice parameters (Å, degrees): 8.0459 4.5893 4.8165 90.00 106.54 90.00
Space group C2/m (No. 12)
Unique sites:
Sc 0.0000 0.0000 0.0000 (multiplicity 2)
Al 0.2278 0.5000 0.3351 (multiplicity 4)
Pd 0.1242 0.5000 0.7857 (multiplicity 4)

***

VASP calculation (GGA-PBE) on Sc2AlPd6 after structural relaxation.

Output
Energy of formation ... -0.67 eV per atom
Magnetization ... 0.000 Bohr magnetons per cell

Lattice parameters (Å, degrees): 7.1459 14.1214 3.0304 90.00 90.00 90.00
Space group Cmmm (No. 65)
Unique sites:
Sc 0.0000 0.1860 0.0000 (multiplicity 4)
Al 0.0000 0.5000 0.5000 (multiplicity 2)
Pd 0.1907 0.3415 0.5000 (multiplicity 8)
Pd 0.2018 0.0000 0.0000 (multiplicity 4)

***

VASP calculation (GGA-PBE) on Sc6Al5Pd after structural relaxation.

Output
Energy of formation ... -0.51 eV per atom
Magnetization ... 0.000 Bohr magnetons per cell

Lattice parameters (Å, degrees): 4.7584 14.2759 6.7921 90.00 90.00 90.00
Space group Cmmm (No. 65)
Unique sites:
Sc 0.0000 0.0000 0.2480 (multiplicity 4)
Sc 0.0000 0.3353 0.2476 (multiplicity 8)
Al 0.0000 0.1667 0.0000 (multiplicity 4)
Al 0.0000 0.1689 0.5000 (multiplicity 4)
Al 0.0000 0.5000 0.5000 (multiplicity 2)
Pd 0.0000 0.5000 0.0000 (multiplicity 2)

***

VASP calculation (GGA-PBE) on ScAl3Pd after structural relaxation.

Output
Energy of formation ... 1.13 eV per atom
Magnetization ... 0.000 Bohr magnetons per cell

Lattice parameters (Å, degrees): 5.0877 5.0877 5.0877 90.00 90.00 90.00
Space group Pm-3m (No. 221)
Unique sites:
Sc 0.0000 0.0000 0.0000 (multiplicity 1)
Al 0.0000 0.0000 0.5000 (multiplicity 3)
Pd 0.5000 0.5000 0.5000 (multiplicity 1)

***

VASP calculation (GGA-PBE) on Sc3AlPd2 after structural relaxation.

Output
Energy of formation ... -0.75 eV per atom
Magnetization ... 0.000 Bohr magnetons per cell

Lattice parameters (Å, degrees): 3.2831 3.2831 10.3565 90.00 90.00 90.00
Space group P4/mmm (No. 123)
Unique sites:
Sc 0.0000 0.0000 0.0000 (multiplicity 1)
Sc 0.0000 0.0000 0.3248 (multiplicity 2)
Al 0.5000 0.5000 0.5000 (multiplicity 1)
Pd 0.5000 0.5000 0.1663 (multiplicity 2)

***

VASP calculation (GGA-PBE) on Sc5AlPd6 after structural relaxation.

Output
Energy of formation ... -0.89 eV per atom
Magnetization ... 0.000 Bohr magnetons per cell

Lattice parameters (Å, degrees): 4.6257 6.5714 13.8599 90.00 90.00 90.00
Space group Immm (No. 71)
Unique sites:
Sc 0.0000 0.0000 0.0000 (multiplicity 2)
Sc 0.0000 0.0000 0.3367 (multiplicity 4)
Sc 0.0000 0.5000 0.3323 (multiplicity 4)
Al 0.0000 0.5000 0.0000 (multiplicity 2)
Pd 0.0000 0.2488 0.5000 (multiplicity 4)
Pd 0.0000 0.2550 0.1630 (multiplicity 8)

***

VASP calculation (GGA-PBE) on ScAl3Pd after structural relaxation.

Output
Energy of formation ... -0.60 eV per atom
Magnetization ... 0.000 Bohr magnetons per cell

Lattice parameters (Å, degrees): 8.2144 4.0361 10.7620 90.00 90.00 90.00
Space group Pnma (No. 62)
Unique sites:
Sc 0.1844 0.2500 0.0081 (multiplicity 4)
Al 0.0683 0.2500 0.5900 (multiplicity 4)
Al 0.1018 0.7500 0.8044 (multiplicity 4)
Al 0.1390 0.7500 0.2086 (multiplicity 4)
Pd 0.1089 0.2500 0.3590 (multiplicity 4)

***

VASP calculation (GGA-PBE) on Sc2Al9Pd3 after structural relaxation.

Output
Energy of formation ... -0.65 eV per atom
Magnetization ... 0.002 Bohr magnetons per cell

Lattice parameters (Å, degrees): 13.1307 7.5596 10.2659 90.00 115.01 90.00
Space group C2/c (No. 15)
Unique sites:
Sc 0.1690 0.0836 0.2503 (multiplicity 8)
Al 0.0000 0.3686 0.2500 (multiplicity 4)
Al 0.0570 0.0798 0.9203 (multiplicity 8)
Al 0.1058 0.3123 0.7483 (multiplicity 8)
Al 0.1072 0.4139 0.0673 (multiplicity 8)
Al 0.2253 0.4151 0.4215 (multiplicity 8)
Pd 0.0859 0.2422 0.4998 (multiplicity 8)
Pd 0.2500 0.2500 0.0000 (multiplicity 4)

***

VASP calculation (GGA-PBE) on Sc2AlPd4 after structural relaxation.

Output
Energy of formation ... -0.74 eV per atom
Magnetization ... 0.000 Bohr magnetons per cell

Lattice parameters (Å, degrees): 7.7230 4.4509 7.7560 90.00 109.48 90.00
Space group C2/m (No. 12)
Unique sites:
Sc 0.2473 0.0000 0.2385 (multiplicity 4)
Al 0.0000 0.0000 0.5000 (multiplicity 2)
Pd 0.1213 0.0000 0.8690 (multiplicity 4)
Pd 0.1290 0.5000 0.3856 (multiplicity 4)

***

VASP calculation (GGA-PBE) on ScAlPd3 after structural relaxation.

Output
Energy of formation ... -0.30 eV per atom
Magnetization ... 0.000 Bohr magnetons per cell

Lattice parameters (Å, degrees): 4.5644 4.5644 4.5644 90.00 90.00 90.00
Space group Pm-3m (No. 221)
Unique sites:
Sc 0.0000 0.0000 0.0000 (multiplicity 1)
Al 0.5000 0.5000 0.5000 (multiplicity 1)
Pd 0.0000 0.5000 0.5000 (multiplicity 3)

***

VASP calculation (GGA-PBE) on ScAl2Pd after structural relaxation.

Output
Energy of formation ... -0.57 eV per atom
Magnetization ... 0.000 Bohr magnetons per cell

Lattice parameters (Å, degrees): 6.4237 6.4237 6.4237 90.00 90.00 90.00
Space group Fm-3m (No. 225)
Unique sites:
Sc 0.0000 0.0000 0.0000 (multiplicity 4)
Al 0.2500 0.2500 0.2500 (multiplicity 8)
Pd 0.0000 0.0000 0.5000 (multiplicity 4)

***

VASP calculation (GGA-PBE) on ScAlPd6 after structural relaxation.

Output
Energy of formation ... -0.56 eV per atom
Magnetization ... 0.000 Bohr magnetons per cell

Lattice parameters (Å, degrees): 4.8593 5.2077 5.2215 93.59 96.87 92.30
Space group P-1 (No. 2)
Unique sites:
Sc 0.0000 0.0000 0.0000 (multiplicity 1)
Al 0.5000 0.5000 0.5000 (multiplicity 1)
Pd 0.0248 0.4730 0.7498 (multiplicity 2)
Pd 0.2592 0.9189 0.5604 (multiplicity 2)
Pd 0.4677 0.7457 0.0610 (multiplicity 2)